# Ac19Mg4Co6

An optimized crystal structure of Ac19Mg4Co6 (PBE, the Alexandria database).

Energy of formation from the pure elements ... 0.028 eV per atom
Total magnetization ... 0.0 Bohr magnetons per cell
VASP energy ... -4.3543 eV per atom
Space group ... I23
Density ... 7.43 g/cm3

Cell: 11.141 11.141 11.141 Å, 109.47 109.47 109.47°
Fractional positions:
Ac  0.000  0.000  0.000
Ac  0.000  0.355  0.355
Ac  0.000  0.645  0.645
Ac  0.015  0.658  0.254
Ac  0.239  0.643  0.985
Ac  0.254  0.015  0.658
Ac  0.342  0.357  0.596
Ac  0.355  0.000  0.355
Ac  0.355  0.355  0.000
Ac  0.357  0.596  0.342
Ac  0.404  0.761  0.746
Ac  0.596  0.342  0.357
Ac  0.643  0.985  0.239
Ac  0.645  0.000  0.645
Ac  0.645  0.645  0.000
Ac  0.658  0.254  0.015
Ac  0.746  0.404  0.761
Ac  0.761  0.746  0.404
Ac  0.985  0.239  0.643
Mg  0.000  0.000  0.324
Mg  0.000  0.324  0.000
Mg  0.324  0.000  0.000
Mg  0.676  0.676  0.676
Co  0.182  0.500  0.682
Co  0.318  0.818  0.500
Co  0.500  0.318  0.818
Co  0.500  0.682  0.182
Co  0.682  0.182  0.500
Co  0.818  0.500  0.318


# AcMgCo4

An optimized crystal structure of AcMgCo4 (PBE, the Alexandria database).

Energy of formation from the pure elements ... 0.114 eV per atom
Total magnetization ... 4.7 Bohr magnetons per cell
VASP energy ... -5.5737 eV per atom
Space group ... F-43m
Density ... 8.41 g/cm3

Cell: 5.142 5.142 5.142 Å, 60.00 60.00 60.00°
Fractional positions:
Ac  0.000  0.000  0.000
Mg  0.750  0.750  0.750
Co  0.376  0.376  0.376
Co  0.376  0.376  0.871
Co  0.376  0.871  0.376
Co  0.871  0.376  0.376


# Ac2MgCo2

An optimized crystal structure of Ac2MgCo2 (PBE, the Alexandria database).

Energy of formation from the pure elements ... -0.036 eV per atom
Total magnetization ... 3.4 Bohr magnetons per cell
VASP energy ... -4.8410 eV per atom
Space group ... Cmmm
Density ... 7.48 g/cm3

Cell: 4.089 15.073 4.295 Å, 90.00 90.00 90.00°
Fractional positions:
Ac  0.000  0.138  0.000
Ac  0.000  0.862  0.000
Ac  0.500  0.362  0.000
Ac  0.500  0.638  0.000
Mg  0.000  0.500  0.500
Mg  0.500  0.000  0.500
Co  0.000  0.283  0.500
Co  0.000  0.717  0.500
Co  0.500  0.217  0.500
Co  0.500  0.783  0.500